# CrMoPO2

A relaxed structure of CrMoPO2 (PBE with a Hubbard U, Alexandria).

a b c (Å): 3.721 3.721 5.211
angles (deg): 90.00 90.00 90.00
Last column: magnetic moment on the atom in μB.
Element x y z (fractional)
O: 0.500 0.000 0.000  -0.27
O: 0.000 0.500 0.000  -0.27
Mo: 0.500 0.500 0.500  3.23
Cr: 0.000 0.000 0.000  2.58
P: 0.000 0.000 0.500  -0.35

The calculation puts the polymorph energy (0 for the lowest one) at 0.302 eV per atom. The total magnetic moment comes out at 5.0 μB/f.u. Its crystal system is tetragonal. As for the density of states at the Fermi level: 2.55 states/eV/cell.